1.
The following is a PBE calculation of an optimized crystal structure of NaSr2Pr, from Alexandria.

abc: 6.4643 6.4643 4.2344
angles: 90.00 90.00 90.00
Last column: nearest neighbours and their distance in Å.
Atoms (fractional coordinates):
Na (0.0000, 0.0000, 0.0000)  8 Sr 3.86, 2 Na 4.23
Sr (0.0000, 0.5000, 0.5000)  4 Pr 3.86, 4 Na 3.86, 2 Sr 4.23
Sr (0.5000, 0.0000, 0.5000)  4 Pr 3.86, 4 Na 3.86, 2 Sr 4.23
Pr (0.5000, 0.5000, 0.0000)  8 Sr 3.86, 2 Pr 4.23

Properties
DFT formation energy in eV per formula unit: 0.620
Density of states at the Fermi level in states/eV/cell: 4.44

2.
The following is a PBE calculation of an optimized crystal structure of TbPm4In2, from Alexandria.

abc: 4.2834 4.2834 24.8165
angles: 90.00 90.00 90.00
Last column: nearest neighbours and their distance in Å.
Atoms (fractional coordinates):
Tb (0.0000, 0.0000, 0.0000)  2 Pm 3.23, 8 In 3.43
Tb (0.5000, 0.5000, 0.5000)  2 Pm 3.23, 8 In 3.43
Pm (0.0000, 0.0000, 0.1302)  1 Tb 3.23, 4 In 3.44
Pm (0.0000, 0.0000, 0.8698)  1 Tb 3.23, 4 In 3.44
Pm (0.0000, 0.5000, 0.2500)  4 Pm 3.03
Pm (0.0000, 0.5000, 0.7500)  4 Pm 3.03
Pm (0.5000, 0.0000, 0.2500)  4 Pm 3.03
Pm (0.5000, 0.0000, 0.7500)  4 Pm 3.03
Pm (0.5000, 0.5000, 0.3698)  1 Tb 3.23, 4 In 3.44
Pm (0.5000, 0.5000, 0.6302)  1 Tb 3.23, 4 In 3.44
In (0.0000, 0.0000, 0.4353)  1 In 3.21, 4 Tb 3.43, 4 Pm 3.44
In (0.0000, 0.0000, 0.5647)  1 In 3.21, 4 Tb 3.43, 4 Pm 3.44
In (0.5000, 0.5000, 0.0647)  1 In 3.21, 4 Tb 3.43, 4 Pm 3.44
In (0.5000, 0.5000, 0.9353)  1 In 3.21, 4 Tb 3.43, 4 Pm 3.44

Properties
DFT formation energy in eV per formula unit: 0.770
Density of states at the Fermi level in states/eV/cell: 17.29

3.
The following is a PBE calculation of an optimized crystal structure of ZnReTe2N, from Alexandria.

abc: 5.3694 5.3694 3.5176
angles: 90.00 90.00 90.00
Last column: nearest neighbours and their distance in Å.
Atoms (fractional coordinates):
Zn (0.0000, 0.0000, 0.0000)  2 N 1.76
Re (0.5000, 0.5000, 0.5000)  8 Te 3.21, 2 Re 3.52
Te (0.0000, 0.5000, 0.0000)  2 Zn 2.68
Te (0.5000, 0.0000, 0.0000)  2 Zn 2.68
N (0.0000, 0.0000, 0.5000)  2 Zn 1.76

Properties
Density of states at the Fermi level in states/eV/cell: 3.57
Formation energy from raw total energies in kJ per mole of atoms: 143

4.
The following is a PBE calculation of an optimized crystal structure of SrMg2GaRu, from Alexandria.

abc: 5.0310 5.0310 4.8815
angles: 90.00 90.00 90.00
Last column: nearest neighbours and their distance in Å.
Atoms (fractional coordinates):
Sr (0.0000, 0.0000, 0.0000)  8 Mg 3.50, 4 Ga 3.56
Mg (0.0000, 0.5000, 0.5000)  2 Ru 2.52
Mg (0.5000, 0.0000, 0.5000)  2 Ru 2.52
Ga (0.5000, 0.5000, 0.0000)  2 Ru 2.44
Ru (0.5000, 0.5000, 0.5000)  2 Ga 2.44, 4 Mg 2.52

Properties
DFT formation energy in eV per formula unit: -0.927
Density of states at the Fermi level in states/eV/cell: 1.67

5.
The following is a PBE calculation of an optimized crystal structure of La4HgTeSe2, from Alexandria.

abc: 7.7187 4.3698 7.7656
angles: 90.00 108.67 90.00
Last column: nearest neighbours and their distance in Å.
Atoms (fractional coordinates):
La (0.2422, 0.0000, 0.2312)  3 Se 3.06-3.08, 1 Hg 3.22, 2 Te 3.23
La (0.2547, 0.5000, 0.7658)  3 Se 3.08, 2 Hg 3.21, 1 Te 3.22
La (0.7453, 0.5000, 0.2342)  3 Se 3.08, 2 Hg 3.21, 1 Te 3.22
La (0.7578, 0.0000, 0.7688)  3 Se 3.06-3.08, 1 Hg 3.22, 2 Te 3.23
Hg (0.0000, 0.0000, 0.5000)  6 La 3.21-3.22
Te (0.5000, 0.5000, 0.5000)  6 La 3.22-3.23
Se (0.0000, 0.5000, 0.0000)  6 La 3.06-3.08
Se (0.5000, 0.0000, 0.0000)  6 La 3.08

Properties
Density of states at the Fermi level in states/eV/cell: 4.89
Formation energy from raw total energies in kJ per mole of atoms: -143

6.
The following is a PBE calculation of an optimized crystal structure of ZnCu8Ni5, from Alexandria.

abc: 6.0897 6.0897 6.0897
angles: 110.34 110.34 107.75
Last column: nearest neighbours and their distance in Å.
Atoms (fractional coordinates):
Zn (0.0000, 0.0000, 0.0000)  4 Cu 2.37
Cu (0.1143, 0.6800, 0.7907)  5 Ni 2.31-2.51, 1 Zn 2.37, 2 Cu 2.52-2.55
Cu (0.2764, 0.5071, 0.1000)  5 Ni 2.46-2.60, 4 Cu 2.47-2.69, 1 Zn 2.75
Cu (0.3200, 0.1107, 0.4343)  5 Ni 2.31-2.51, 1 Zn 2.37, 2 Cu 2.52-2.55
Cu (0.4071, 0.1765, 0.9000)  5 Ni 2.46-2.60, 4 Cu 2.47-2.69, 1 Zn 2.75
Cu (0.4929, 0.5929, 0.7694)  5 Ni 2.46-2.60, 4 Cu 2.47-2.69, 1 Zn 2.75
Cu (0.6764, 0.8857, 0.5657)  5 Ni 2.31-2.51, 1 Zn 2.37, 2 Cu 2.52-2.55
Cu (0.8235, 0.7236, 0.2306)  5 Ni 2.46-2.60, 4 Cu 2.47-2.69, 1 Zn 2.75
Cu (0.8893, 0.3236, 0.2093)  5 Ni 2.31-2.51, 1 Zn 2.37, 2 Cu 2.52-2.55
Ni (0.0275, 0.2196, 0.5832)  8 Cu 2.40-2.60, 2 Ni 2.51
Ni (0.2500, 0.7500, 0.5000)  8 Cu 2.31-2.46
Ni (0.5557, 0.9725, 0.1921)  8 Cu 2.40-2.60, 2 Ni 2.51
Ni (0.6364, 0.4443, 0.4168)  8 Cu 2.40-2.60, 2 Ni 2.51
Ni (0.7804, 0.3636, 0.8079)  8 Cu 2.40-2.60, 2 Ni 2.51

Properties
DFT formation energy in eV per formula unit: 2.909
Density of states at the Fermi level in states/eV/cell: 9.55

7.
The following is a PBE calculation of an optimized crystal structure of Cs2ZrGeCl6, from Alexandria.

abc: 8.1327 8.1327 8.1327
angles: 125.87 125.87 80.11
Last column: nearest neighbours and their distance in Å.
Atoms (fractional coordinates):
Cs (0.2500, 0.7500, 0.5000)  12 Cl 3.74-4.07
Cs (0.7500, 0.2500, 0.5000)  12 Cl 3.74-4.07
Zr (0.0000, 0.0000, 0.0000)  6 Cl 2.54
Ge (0.5000, 0.5000, 0.0000)  4 Cl 2.69
Cl (0.2042, 0.2042, 0.0000)  1 Zr 2.54
Cl (0.2430, 0.2430, 0.4860)  1 Zr 2.54, 1 Ge 2.69
Cl (0.2430, 0.7570, 0.0000)  1 Zr 2.54, 1 Ge 2.69
Cl (0.7570, 0.2430, 0.0000)  1 Zr 2.54, 1 Ge 2.69
Cl (0.7570, 0.7570, 0.5140)  1 Zr 2.54, 1 Ge 2.69
Cl (0.7958, 0.7958, 0.0000)  1 Zr 2.54

Properties
Density of states at the Fermi level in states/eV/cell: 7.12
Formation energy from raw total energies in kJ per mole of atoms: -140

8.
The following is a PBE calculation of an optimized crystal structure of Hg13I3, from Alexandria.

abc: 8.6184 8.0270 8.0270
angles: 68.03 90.00 90.00
Last column: nearest neighbours and their distance in Å.
Atoms (fractional coordinates):
Hg (0.0000, 0.0000, 0.0000)  4 Hg 3.09
Hg (0.0000, 0.0007, 0.4601)  2 Hg 3.00, 2 I 3.25
Hg (0.0000, 0.4601, 0.0007)  2 Hg 3.00, 2 I 3.25
Hg (0.0000, 0.4900, 0.4900)  4 Hg 3.01
Hg (0.2394, 0.2517, 0.7387)  4 Hg 3.01-3.29, 1 I 3.32
Hg (0.2394, 0.7387, 0.2517)  4 Hg 3.01-3.29, 1 I 3.32
Hg (0.2481, 0.2613, 0.2613)  4 Hg 3.00-3.05
Hg (0.5000, 0.0899, 0.5395)  4 Hg 3.05-3.29, 2 I 3.39
Hg (0.5000, 0.5375, 0.5375)  4 Hg 3.18
Hg (0.5000, 0.5395, 0.0899)  4 Hg 3.05-3.29, 2 I 3.39
Hg (0.7519, 0.2613, 0.2613)  4 Hg 3.00-3.05
Hg (0.7606, 0.2517, 0.7387)  4 Hg 3.01-3.29, 1 I 3.32
Hg (0.7606, 0.7387, 0.2517)  4 Hg 3.01-3.29, 1 I 3.32
I (0.2476, 0.7535, 0.7535)  5 Hg 3.25-3.61
I (0.5000, 0.0576, 0.0576)  6 Hg 3.32-3.47
I (0.7524, 0.7535, 0.7535)  5 Hg 3.25-3.61

Properties
Density of states at the Fermi level in states/eV/cell: 2.67
Formation energy from raw total energies in kJ per mole of atoms: -5

9.
The following is a PBE calculation of an optimized crystal structure of AcPmSm4, from Alexandria.

abc: 6.6664 6.6664 11.3409
angles: 90.00 90.00 119.95
Last column: nearest neighbours and their distance in Å.
Atoms (fractional coordinates):
Ac (0.0000, 0.0000, 0.0000)  2 Pm 3.46, 4 Sm 3.47
Ac (0.0000, 0.0000, 0.5000)  2 Pm 3.46, 4 Sm 3.47
Pm (0.1716, 0.8284, 0.7500)  4 Sm 3.22-3.45, 2 Ac 3.46
Pm (0.8284, 0.1716, 0.2500)  4 Sm 3.22-3.45, 2 Ac 3.46
Sm (0.1705, 0.3450, 0.7500)  2 Pm 3.22-3.45, 2 Sm 3.23-3.44, 2 Ac 3.47
Sm (0.3355, 0.6645, 0.0765)  10 Sm 3.86-4.25, 3 Pm 3.87-4.16, 3 Ac 3.94-3.97
Sm (0.3355, 0.6645, 0.4235)  10 Sm 3.86-4.25, 3 Pm 3.87-4.16, 3 Ac 3.94-3.97
Sm (0.3450, 0.1705, 0.2500)  2 Pm 3.22-3.45, 2 Sm 3.23-3.44, 2 Ac 3.47
Sm (0.6550, 0.8295, 0.7500)  2 Pm 3.22-3.45, 2 Sm 3.23-3.44, 2 Ac 3.47
Sm (0.6645, 0.3355, 0.5765)  10 Sm 3.86-4.25, 3 Pm 3.87-4.16, 3 Ac 3.94-3.97
Sm (0.6645, 0.3355, 0.9235)  10 Sm 3.86-4.25, 3 Pm 3.87-4.16, 3 Ac 3.94-3.97
Sm (0.8295, 0.6550, 0.2500)  2 Pm 3.22-3.45, 2 Sm 3.23-3.44, 2 Ac 3.47

Properties
DFT formation energy in eV per formula unit: 1.583
Density of states at the Fermi level in states/eV/cell: 23.89